Entry 1:
Entry from the Alexandria database: a relaxed TbPmSn crystal (PBE-GGA).

Summary:
space-group type: P3m1, No. 156
E_form: -1.1 eV per formula unit
offset from the most stable computed form: 0.73 eV/f.u.

abc: 3.933 5.149 5.149
angles: 120.00 90.00 90.00
Positions (direct):
1 Tb 0.736 0.333 0.667
2 Sn 0.970 0.000 0.000
3 Pm 0.294 0.667 0.333



Entry 2:
Entry from the Alexandria database: a relaxed Ag2HgW crystal (PBE-GGA).

Summary:
space-group type: P4mm, No. 99
E_form: 1.9 eV per formula unit

abc: 2.834 2.834 8.959
angles: 90.00 90.00 90.00
Positions (direct):
1 Hg 0.000 0.000 0.506
2 W 0.500 0.500 0.758
3 Ag 0.500 0.500 0.241
4 Ag 0.000 0.000 0.995



Entry 3:
Entry from the Alexandria database: a relaxed P2Au crystal (PBE-GGA).

Summary:
space-group type: C2/m, No. 12
E_form: 0.1 eV per formula unit

abc: 8.250 8.250 4.680
angles: 78.63 78.63 23.00
Positions (direct):
1 Au 0.173 0.173 0.481
2 P 0.458 0.458 0.838
3 Au 0.827 0.827 0.519
4 P 0.542 0.542 0.162
5 P 0.132 0.132 0.005
6 P 0.868 0.868 0.995



Entry 4:
Entry from the Alexandria database: a relaxed TbBS crystal (PBE-GGA).

Summary:
space-group type: P2_1/m, No. 11
raw formation energy: -1.15 eV per atom
offset from the most stable computed form: 0.00 eV/f.u.

abc: 3.508 7.763 7.723
angles: 104.44 90.00 90.00
Positions (direct):
1 Tb 0.750 0.800 0.200
2 S 0.750 0.923 0.688
3 Tb 0.250 0.700 0.800
4 B 0.250 0.511 0.047
5 Tb 0.250 0.200 0.800
6 S 0.250 0.577 0.312
7 S 0.750 0.423 0.688
8 B 0.750 0.989 0.953
9 B 0.750 0.489 0.953
10 S 0.250 0.077 0.312
11 Tb 0.750 0.300 0.200
12 B 0.250 0.011 0.047



Entry 5:
Entry from the Alexandria database: a relaxed Ac4Bi3S crystal (PBE-GGA).

Summary:
space-group type: P2/c, No. 13
raw formation energy: -1.21 eV per atom

abc: 8.229 8.214 9.525
angles: 90.00 90.00 109.52
Positions (direct):
1 Ac 0.508 0.755 0.633
2 S 0.750 0.000 0.879
3 Bi 0.250 0.000 0.627
4 Ac 0.502 0.236 0.882
5 Ac 0.002 0.236 0.118
6 Bi 0.750 0.500 0.124
7 Ac 0.498 0.764 0.118
8 Ac 0.998 0.764 0.882
9 Bi 0.250 0.500 0.876
10 Ac 0.492 0.245 0.367
11 Bi 0.250 0.500 0.374
12 Ac 0.992 0.245 0.633
13 S 0.250 0.000 0.121
14 Bi 0.750 0.500 0.626
15 Bi 0.750 0.000 0.373
16 Ac 0.008 0.755 0.367



Entry 6:
Entry from the Alexandria database: a relaxed Cs2CeIr3O12 crystal (PBE-GGA).

Summary:
space-group type: R-3m, No. 166
raw formation energy: -1.28 eV per atom

abc: 7.637 7.637 7.637
angles: 57.30 57.30 57.30
Positions (direct):
1 O 0.078 0.078 0.644
2 Cs 0.383 0.383 0.383
3 O 0.922 0.922 0.356
4 Ir 0.000 0.500 0.000
5 O 0.081 0.693 0.693
6 O 0.693 0.693 0.081
7 Ir 0.500 0.000 0.000
8 O 0.919 0.307 0.307
9 Cs 0.617 0.617 0.617
10 Ce 0.000 0.000 0.000
11 Ir 0.000 0.000 0.500
12 O 0.693 0.081 0.693
13 O 0.922 0.356 0.922
14 O 0.356 0.922 0.922
15 O 0.307 0.307 0.919
16 O 0.307 0.919 0.307
17 O 0.078 0.644 0.078
18 O 0.644 0.078 0.078



Entry 7:
Entry from the Alexandria database: a relaxed Mn2TcNi2 crystal (PBE-GGA).

Summary:
space-group type: P4/mbm, No. 127
E_form: 1.2 eV per formula unit
offset from the most stable computed form: 0.38 eV/f.u.

abc: 6.792 6.792 2.554
angles: 90.00 90.00 90.00
Positions (direct):
1 Ni 0.686 0.814 0.500
2 Mn 0.392 0.892 0.000
3 Ni 0.814 0.314 0.500
4 Mn 0.108 0.392 0.000
5 Ni 0.314 0.186 0.500
6 Tc 0.000 0.000 0.000
7 Mn 0.892 0.608 0.000
8 Mn 0.608 0.108 0.000
9 Ni 0.186 0.686 0.500
10 Tc 0.500 0.500 0.000



Entry 8:
Entry from the Alexandria database: a relaxed Ce4Ge2Te5 crystal (PBE-GGA).

Summary:
space-group type: Immm, No. 71
raw formation energy: -1.01 eV per atom

abc: 4.436 8.271 10.826
angles: 112.47 101.82 90.00
Each line ends with the local moment (μB).
Positions (direct):
1 Ge 0.560 0.560 0.120  0.01
2 Ce 0.000 0.266 0.000  0.59
3 Ce 0.709 0.709 0.419  0.50
4 Te 0.164 0.921 0.328  -0.02
5 Te 0.836 0.593 0.672  -0.02
6 Ce 0.000 0.734 0.000  0.59
7 Te 0.500 0.000 0.000  -0.03
8 Ce 0.291 0.291 0.581  0.50
9 Te 0.164 0.407 0.328  -0.02
10 Ge 0.440 0.440 0.880  0.01
11 Te 0.836 0.079 0.672  -0.02



Entry 9:
Entry from the Alexandria database: a relaxed Tl2SiSe crystal (PBE-GGA).

Summary:
space-group type: Immm, No. 71
raw formation energy: 0.10 eV per atom
offset from the most stable computed form: 0.33 eV/f.u.

abc: 8.026 8.026 8.026
angles: 153.00 151.76 39.47
Positions (direct):
1 Tl 0.421 0.421 0.000
2 Se 0.750 0.250 0.500
3 Si 0.250 0.750 0.500
4 Tl 0.079 0.079 0.000



Entry 10:
Entry from the Alexandria database: a relaxed HfTlSb2 crystal (PBE-GGA).

Summary:
space-group type: Fm-3m, No. 225
raw formation energy: 0.12 eV per atom
offset from the most stable computed form: 1.22 eV/f.u.

abc: 5.271 5.271 5.271
angles: 60.00 60.00 60.00
Positions (direct):
1 Tl 0.500 0.500 0.500
2 Sb 0.250 0.250 0.250
3 Hf 0.000 0.000 0.000
4 Sb 0.750 0.750 0.750



Entry 11:
Entry from the Alexandria database: a relaxed Ce3Ga2Au7 crystal (PBE-GGA).

Summary:
space-group type: I4/mmm, No. 139
E_form: -5.6 eV per formula unit

abc: 4.279 4.279 14.913
angles: 98.25 98.25 90.00
Each line ends with the local moment (μB).
Positions (direct):
1 Au 0.080 0.580 0.160  0.02
2 Ce 0.326 0.326 0.651  0.97
3 Ce 0.674 0.674 0.349  0.97
4 Au 0.000 0.000 0.000  0.03
5 Au 0.920 0.420 0.840  0.02
6 Ga 0.868 0.868 0.736  0.03
7 Ce 0.500 0.500 0.000  0.84
8 Au 0.222 0.222 0.444  0.02
9 Ga 0.132 0.132 0.264  0.03
10 Au 0.580 0.080 0.160  0.02
11 Au 0.778 0.778 0.556  0.02
12 Au 0.420 0.920 0.840  0.02



Entry 12:
Entry from the Alexandria database: a relaxed Gd2InF crystal (PBE-GGA).

Summary:
space-group type: R-3m, No. 166
raw formation energy: -1.31 eV per atom
offset from the most stable computed form: 0.00 eV/f.u.

abc: 3.755 3.755 7.983
angles: 76.40 76.40 60.00
Each line ends with the local moment (μB).
Positions (direct):
1 F 0.000 0.000 0.000  0.01
2 Gd 0.729 0.729 0.814  7.00
3 In 0.500 0.500 0.500  -0.04
4 Gd 0.271 0.271 0.186  7.00



Entry 13:
Entry from the Alexandria database: a relaxed Tb3Ga2Ag crystal (PBE-GGA).

Summary:
space-group type: P4/mmm, No. 123
E_form: -2.9 eV per formula unit

abc: 3.505 3.505 11.474
angles: 90.00 90.00 90.00
Positions (direct):
1 Tb 0.000 0.000 0.329
2 Ga 0.500 0.500 0.831
3 Ag 0.500 0.500 0.500
4 Ga 0.500 0.500 0.169
5 Tb 0.000 0.000 0.000
6 Tb 0.000 0.000 0.671



Entry 14:
Entry from the Alexandria database: a relaxed BSb2Te crystal (PBE-GGA).

Summary:
space-group type: I-42d, No. 122
raw formation energy: 0.48 eV per atom

abc: 6.773 6.773 6.564
angles: 58.94 58.94 90.00
Positions (direct):
1 B 0.250 0.750 0.500
2 Te 0.000 0.000 0.000
3 Sb 0.536 0.125 0.250
4 Te 0.750 0.250 0.500
5 B 0.500 0.500 0.000
6 Sb 0.375 0.464 0.750
7 Sb 0.875 0.786 0.750
8 Sb 0.214 0.625 0.250



Entry 15:
Entry from the Alexandria database: a relaxed SmPu3Ru2 crystal (PBE-GGA).

Summary:
space-group type: C2/m, No. 12
E_form: -0.2 eV per formula unit
offset from the most stable computed form: 0.15 eV/f.u.

abc: 4.060 9.547 7.426
angles: 121.64 90.00 102.28
Each line ends with the local moment (μB).
Positions (direct):
1 Pu 0.714 0.428 0.490  1.63
2 Pu 0.375 0.751 0.301  3.72
3 Ru 0.462 0.923 0.789  0.10
4 Ru 0.762 0.525 0.167  -0.29
5 Pu 0.286 0.572 0.510  1.63
6 Ru 0.238 0.475 0.833  -0.29
7 Sm 0.886 0.772 0.947  0.01
8 Pu 0.054 0.108 0.462  -2.38
9 Pu 0.946 0.892 0.538  -2.38
10 Ru 0.538 0.077 0.211  0.10
11 Sm 0.114 0.228 0.053  0.01
12 Pu 0.625 0.249 0.699  3.72



Entry 16:
Entry from the Alexandria database: a relaxed PrPaC2 crystal (PBE-GGA).

Summary:
space-group type: Pmmn, No. 59
E_form: -0.7 eV per formula unit
offset from the most stable computed form: 0.23 eV/f.u.

abc: 3.609 6.227 6.244
angles: 90.00 90.00 90.00
Positions (direct):
1 Pr 0.750 0.750 0.409
2 Pa 0.250 0.750 0.917
3 C 0.250 0.495 0.210
4 C 0.750 0.995 0.790
5 C 0.750 0.505 0.790
6 Pr 0.250 0.250 0.591
7 Pa 0.750 0.250 0.083
8 C 0.250 0.005 0.210



Entry 17:
Entry from the Alexandria database: a relaxed La2BrCl crystal (PBE-GGA).

Summary:
space-group type: R-3m, No. 166
raw formation energy: -1.42 eV per atom
offset from the most stable computed form: 0.00 eV/f.u.

abc: 9.224 9.224 9.224
angles: 23.42 23.42 23.42
Positions (direct):
1 La 0.497 0.497 0.497
2 Cl 0.750 0.750 0.750
3 Br 0.250 0.250 0.250
4 La 0.003 0.003 0.003



Entry 18:
Entry from the Alexandria database: a relaxed YPa2Ga crystal (PBE-GGA).

Summary:
space-group type: R-3m, No. 166
E_form: 0.7 eV per formula unit

abc: 3.169 3.169 11.592
angles: 82.14 82.14 60.00
Positions (direct):
1 Pa 0.093 0.093 0.722
2 Pa 0.907 0.907 0.278
3 Ga 0.500 0.500 0.500
4 Y 0.000 0.000 0.000



Entry 19:
Entry from the Alexandria database: a relaxed KVSe2 crystal (PBE-GGA).

Summary:
space-group type: C2/c, No. 15
raw formation energy: -0.79 eV per atom

abc: 19.001 6.986 6.986
angles: 72.42 103.03 76.97
Each line ends with the local moment (μB).
Positions (direct):
1 V 0.823 0.402 0.020  0.93
2 V 0.323 0.480 0.098  0.93
3 Se 0.750 0.667 0.167  -0.10
4 K 0.088 0.138 0.290  0.00
5 V 0.676 0.066 0.939  1.95
6 Se 0.248 0.282 0.318  -0.08
7 Se 0.752 0.718 0.682  -0.08
8 Se 0.082 0.692 0.616  -0.07
9 Se 0.748 0.182 0.218  -0.08
10 K 0.413 0.273 0.679  0.01
11 Se 0.067 0.679 0.109  -0.07
12 Se 0.252 0.818 0.782  -0.08
13 K 0.087 0.179 0.773  0.01
14 V 0.177 0.598 0.980  0.93
15 K 0.412 0.790 0.638  0.00
16 Se 0.750 0.251 0.751  -0.10
17 V 0.176 0.561 0.434  1.95
18 Se 0.250 0.749 0.249  -0.10
19 V 0.824 0.439 0.566  1.95
20 Se 0.582 0.884 0.808  -0.07
21 K 0.588 0.210 0.362  0.00
22 V 0.324 0.934 0.061  1.95
23 Se 0.433 0.609 0.179  -0.07
24 V 0.677 0.520 0.902  0.93
25 Se 0.918 0.308 0.384  -0.07
26 Se 0.418 0.116 0.192  -0.07
27 Se 0.567 0.391 0.821  -0.07
28 K 0.587 0.727 0.321  0.01
29 Se 0.250 0.333 0.833  -0.10
30 K 0.913 0.821 0.227  0.01
31 Se 0.933 0.321 0.891  -0.07
32 K 0.912 0.862 0.710  0.00



Entry 20:
Entry from the Alexandria database: a relaxed CeMg4In2 crystal (PBE-GGA).

Summary:
space-group type: R-3m, No. 166
E_form: -1.2 eV per formula unit
offset from the most stable computed form: 0.00 eV/f.u.

abc: 4.924 4.924 8.755
angles: 73.67 73.67 60.00
Each line ends with the local moment (μB).
Positions (direct):
1 Mg 0.139 0.139 0.582  0.00
2 Mg 0.576 0.576 0.271  0.00
3 In 0.736 0.736 0.791  0.00
4 Mg 0.424 0.424 0.729  0.00
5 In 0.264 0.264 0.209  0.00
6 Mg 0.861 0.861 0.418  0.00
7 Ce 0.000 0.000 0.000  0.87



Entry 21:
Entry from the Alexandria database: a relaxed In2CuTeP crystal (PBE-GGA).

Summary:
space-group type: P4/mmm, No. 123
raw formation energy: 0.49 eV per atom

abc: 5.013 5.160 5.013
angles: 90.00 90.00 90.00
Positions (direct):
1 Cu 0.000 0.000 0.000
2 P 0.500 0.500 0.500
3 In 0.500 0.000 0.000
4 In 0.000 0.000 0.500
5 Te 0.000 0.500 0.000



Entry 22:
Entry from the Alexandria database: a relaxed PaGe2Au crystal (PBE-GGA).

Summary:
space-group type: R-3m, No. 166
E_form: -0.8 eV per formula unit
offset from the most stable computed form: 1.01 eV/f.u.

abc: 4.410 4.410 5.532
angles: 66.51 66.51 60.00
Each line ends with the local moment (μB).
Positions (direct):
1 Ge 0.263 0.263 0.212  0.01
2 Au 0.000 0.000 0.000  0.01
3 Ge 0.737 0.737 0.788  0.01
4 Pa 0.500 0.500 0.500  0.22



Entry 23:
Entry from the Alexandria database: a relaxed Ti5W crystal (PBE-GGA).

Summary:
space-group type: Cmmm, No. 65
E_form: 0.2 eV per formula unit
offset from the most stable computed form: 0.00 eV/f.u.

abc: 3.173 4.582 7.382
angles: 108.08 90.00 90.00
Positions (direct):
1 Ti 0.500 0.148 0.296
2 W 0.000 0.000 0.000
3 Ti 0.000 0.677 0.353
4 Ti 0.500 0.500 0.000
5 Ti 0.000 0.323 0.647
6 Ti 0.500 0.852 0.704